Material: NaZnAu4
Method: DFT, PBE-GGA
State: relaxed

Energy of formation from the pure elements = -0.8 eV per formula unit
E_tot = -2.75 eV/atom
Size of the total moment = 0.00 μB per cell
D(E_F) = 3.6 states/eV/f.u.
ΔE to the lowest computed polymorph = 0.0347 eV/atom

extended XYZ file:
```
6
Lattice="-4.791 -0.640 2.735 -3.978 -3.261 -2.093 -1.182 -4.850 2.434" Properties=species:S:1:pos:R:3 pbc="T T T"
Au -3.825 -5.148 0.556
Au -6.218 -5.468 1.922
Au -5.628 -3.045 0.706
Au -4.231 -3.839 2.968
Na 0.000 0.000 0.000
Zn -2.488 -2.187 0.769
```